1.
DFT (PBE) results for Tm4Ga21Ni10 after structural relaxation.

Output
- Space-group type: C2/m, No. 12
- Raw total energy: -4.482 eV per atom
- Size of the total moment: 0.00 μB/cell
- Formation energy from the elements: -0.503 eV/atom

a = 10.6117 Å, b = 10.6117 Å, c = 15.2763 Å
α = 56.46°, β = 56.46°, γ = 22.27°
Atoms (fractional coordinates):
Tm 0.8786 0.8786 0.3342
Tm 0.1214 0.1214 0.6658
Tm 0.2290 0.2290 0.1749
Tm 0.7710 0.7710 0.8251
Ga 0.4587 0.4587 0.3685
Ga 0.5413 0.5413 0.6315
Ga 0.7994 0.7994 0.0027
Ga 0.2006 0.2006 0.9973
Ga 0.7022 0.7022 0.4979
Ga 0.2978 0.2978 0.5021
Ga 0.8825 0.8825 0.5542
Ga 0.1175 0.1175 0.4458
Ga 0.6140 0.6140 0.2965
Ga 0.3860 0.3860 0.7035
Ga 0.7506 0.7506 0.2945
Ga 0.2494 0.2494 0.7055
Ga 0.6014 0.6014 0.0004
Ga 0.3986 0.3986 0.9996
Ga 0.9927 0.9927 0.0923
Ga 0.0073 0.0073 0.9077
Ga 0.9343 0.9343 0.7965
Ga 0.0657 0.0657 0.2035
Ga 0.5000 0.5000 0.5000
Ga 0.3724 0.3724 0.1967
Ga 0.6276 0.6276 0.8033
Ni 0.4974 0.4974 0.1845
Ni 0.5026 0.5026 0.8155
Ni 0.8656 0.8656 0.1060
Ni 0.1344 0.1344 0.8940
Ni 0.7498 0.7498 0.6162
Ni 0.2502 0.2502 0.3838
Ni 0.6530 0.6530 0.1114
Ni 0.3470 0.3470 0.8886
Ni 0.9768 0.9768 0.6063
Ni 0.0232 0.0232 0.3937

=====

2.
DFT (PBE) results for HgGePd after structural relaxation.

Output
- Space-group type: Amm2, No. 38
- Raw total energy: -3.411 eV per atom
- Polymorph energy (0 for the lowest one): 58 meV/atom
- Size of the total moment: 0.00 μB/cell
- Formation energy from the elements: -0.041 eV/atom

a = 3.1524 Å, b = 3.1964 Å, c = 13.1102 Å
α = 90.00°, β = 90.00°, γ = 119.55°
Atoms (fractional coordinates):
Pd 0.4640 0.9281 0.0000
Pd 0.4274 0.8548 0.5000
Ge 0.7549 0.5098 0.3549
Ge 0.7549 0.5098 0.6451
Hg 0.1327 0.2653 0.8339
Hg 0.1327 0.2653 0.1661

=====

Which value of formation energy from the elements does entry 2 give?
-0.041 eV/atom